Entry 1:
This record from Alexandria via LeMat-Bulk describes a geometry-optimized PmInAg2 structure. The functional is PBE-GGA.

Cell and atoms, written as POSCAR:
```
PmInAg2
1.0
-2.272 -2.619 2.598
2.449 -3.668 -1.556
3.140 0.653 3.404
In Ag Pm
1 2 1
direct
0.500 0.000 0.000
0.000 0.000 0.500
0.000 0.500 0.000
0.500 0.500 0.500
```

Properties
**Space-group type**: P4/mmm
**V**: 94.8 Å³/cell
**M_tot**: 0.00 μB/f.u.
**DFT formation energy**: -4.47 kcal/mol of atoms
**Raw total energy**: -3.492 eV/atom
**Excess energy over the best structure of this formula in the dataset**: 0.171 eV/atom

=====

Entry 2:
This record from Alexandria via LeMat-Bulk describes a geometry-optimized Ag3O structure. The functional is PBE-GGA.

Cell and atoms, written as POSCAR:
```
Ag3O
1.0
-2.948 -2.804 -3.550
5.358 -0.647 0.168
-0.554 -3.711 3.392
Ag O
6 2
direct
0.688 0.688 0.221
0.000 0.688 0.779
0.688 0.000 0.779
0.312 0.312 0.779
0.000 0.312 0.221
0.312 0.000 0.221
0.667 0.333 0.500
0.333 0.667 0.500
```

Properties
**Space-group type**: P-31m
**V**: 127.7 Å³/cell
**M_tot**: 0.00 μB/f.u.
**Raw total energy**: -3.414 eV/atom
**E_form (uncorrected)**: -0.14 eV/f.u.
**Excess energy over the best structure of this formula in the dataset**: 0.000 eV/atom

=====

Entry 3:
This record from Alexandria via LeMat-Bulk describes a geometry-optimized FeCu2W structure. The functional is PBE-GGA.

Cell and atoms, written as POSCAR:
```
FeCu2W
1.0
-2.225 -3.667 -1.890
-0.722 -4.631 0.063
-3.531 -0.202 2.619
Cu Fe W
2 1 1
direct
0.004 0.004 0.994
0.496 0.496 0.506
0.750 0.750 0.750
0.250 0.250 0.250
```

Properties
**Space-group type**: C2/m
**V**: 51.5 Å³/cell
**M_tot**: 1.11 μB/f.u.
**DFT formation energy**: 6.66 kcal/mol of atoms
**Raw total energy**: -7.113 eV/atom
**Excess energy over the best structure of this formula in the dataset**: 0.083 eV/atom

=====

Entry 4:
This record from Alexandria via LeMat-Bulk describes a geometry-optimized BeSiW structure. The functional is PBE-GGA.

Cell and atoms, written as POSCAR:
```
BeSiW
1.0
-1.033 4.978 3.276
0.199 2.343 5.572
2.159 -3.104 -4.720
Be Si W
1 1 1
direct
0.999 0.999 0.000
0.341 0.341 0.000
0.660 0.660 0.000
```

Properties
**Space-group type**: I4mm
**V**: 39.5 Å³/cell
**M_tot**: 0.00 μB/f.u.
**Raw total energy**: -6.967 eV/atom
**E_form (uncorrected)**: 1.20 eV/f.u.
**Excess energy over the best structure of this formula in the dataset**: 0.359 eV/atom

=====

Entry 5:
This record from Alexandria via LeMat-Bulk describes a geometry-optimized GaOsRhO6 structure. The functional is PBE-GGA.

Cell and atoms, written as POSCAR:
```
GaOsRhO6
1.0
5.077 0.000 0.000
-2.538 4.397 0.000
0.000 0.000 8.577
Ga Os Rh O
2 2 2 12
direct
0.667 0.333 0.250
0.333 0.667 0.750
0.333 0.667 0.250
0.667 0.333 0.750
0.000 0.000 0.000
0.000 0.000 0.500
0.650 0.657 0.128
0.007 0.350 0.128
0.350 0.007 0.628
0.993 0.650 0.872
0.343 0.350 0.372
0.007 0.657 0.372
0.657 0.007 0.872
0.650 0.993 0.372
0.993 0.343 0.628
0.343 0.993 0.128
0.657 0.650 0.628
0.350 0.343 0.872
```

Properties
**Space-group type**: P-31c
**V**: 191.4 Å³/cell
**M_tot**: 0.00 μB/f.u.
**Raw total energy**: -6.745 eV/atom
**E_form (uncorrected)**: -9.35 eV/f.u.

=====

Entry 6:
This record from Alexandria via LeMat-Bulk describes a geometry-optimized ZrIn2SiSn structure. The functional is PBE-GGA.

Cell and atoms, written as POSCAR:
```
ZrIn2SiSn
1.0
-4.660 -2.988 0.403
1.504 -1.665 5.047
-2.608 4.368 2.218
Si Sn Zr In
1 1 1 2
direct
0.500 0.500 0.500
0.000 0.500 0.000
0.000 0.000 0.000
0.000 0.000 0.500
0.500 0.000 0.000
```

Properties
**Space-group type**: P4/mmm
**V**: 170.1 Å³/cell
**M_tot**: 0.00 μB/f.u.
**Raw total energy**: -3.793 eV/atom
**E_form (uncorrected)**: 4.49 eV/f.u.

=====

Entry 7:
This record from Alexandria via LeMat-Bulk describes a geometry-optimized ScRu2 structure. The functional is PBE-GGA.

Cell and atoms, written as POSCAR:
```
ScRu2
1.0
-2.501 2.501 4.331
2.501 -2.501 4.331
2.501 2.501 -4.331
Sc Ru
2 4
direct
0.250 0.250 0.000
0.750 0.750 0.000
0.825 0.675 0.500
0.675 0.175 0.851
0.325 0.825 0.149
0.175 0.325 0.500
```

Properties
**Space-group type**: I4/mcm
**V**: 108.4 Å³/cell
**M_tot**: 0.00 μB/f.u.
**DFT formation energy**: 0.36 kcal/mol of atoms
**Raw total energy**: -8.279 eV/atom

=====

Entry 8:
This record from Alexandria via LeMat-Bulk describes a geometry-optimized LiCaCr2Cu structure. The functional is PBE-GGA.

Cell and atoms, written as POSCAR:
```
LiCaCr2Cu
1.0
4.661 0.000 0.000
0.000 4.533 0.000
0.000 0.000 4.661
Cr Ca Cu Li
2 1 1 1
direct
0.000 0.000 0.500
0.500 0.000 0.000
0.500 0.500 0.500
0.000 0.500 0.000
0.000 0.000 0.000
```

Properties
**Space-group type**: P4/mmm
**V**: 98.5 Å³/cell
**M_tot**: 8.52 μB/f.u.
**DFT formation energy**: 18.97 kcal/mol of atoms
**Raw total energy**: -4.629 eV/atom

=====

Repeat the fourth record exactly.
This record from Alexandria via LeMat-Bulk describes a geometry-optimized BeSiW structure. The functional is PBE-GGA.

Cell and atoms, written as POSCAR:
```
BeSiW
1.0
-1.033 4.978 3.276
0.199 2.343 5.572
2.159 -3.104 -4.720
Be Si W
1 1 1
direct
0.999 0.999 0.000
0.341 0.341 0.000
0.660 0.660 0.000
```

Properties
**Space-group type**: I4mm
**V**: 39.5 Å³/cell
**M_tot**: 0.00 μB/f.u.
**Raw total energy**: -6.967 eV/atom
**E_form (uncorrected)**: 1.20 eV/f.u.
**Excess energy over the best structure of this formula in the dataset**: 0.359 eV/atom